A relaxed UCo2Si3 crystal, computed with PBE.

raw total energy = -89.41 eV for the cell shown
D(E_F) = 1.199 states/eV/atom
uncorrected formation energy = -2.94 eV per formula unit
mass density = 8.611 Mg/m³

Unit cell a=4.938 b=6.002 c=6.002 alpha=107.38 beta=90.00 gamma=90.00
Each line ends with the local moment (μB).
Positions (direct):
Co (0.000, 0.807, 0.193)  0.04
Si (0.250, 0.937, 0.937)  0.01
U (0.750, 0.634, 0.634)  2.35
Si (0.250, 0.903, 0.524)  -0.01
Si (0.750, 0.476, 0.097)  -0.01
Si (0.250, 0.524, 0.903)  -0.01
Co (0.500, 0.193, 0.807)  0.04
Co (0.000, 0.193, 0.807)  0.04
Si (0.750, 0.063, 0.063)  0.01
Co (0.500, 0.807, 0.193)  0.04
U (0.250, 0.366, 0.366)  2.35
Si (0.750, 0.097, 0.476)  -0.01



A relaxed UCo6Si4 crystal, computed with PBE.

raw total energy = -81.85 eV for the cell shown
D(E_F) = 0.966 states/eV/atom
uncorrected formation energy = -6.24 eV per formula unit
mass density = 8.640 Mg/m³

Unit cell a=3.594 b=6.593 c=6.593 alpha=120.00 beta=90.00 gamma=90.00
Each line ends with the local moment (μB).
Positions (direct):
Co (0.500, 0.201, 0.799)  -0.16
Co (0.000, 0.533, 0.467)  0.05
Co (0.000, 0.533, 0.066)  0.05
U (0.000, 0.000, 0.000)  1.29
Si (0.500, 0.799, 0.597)  0.00
Si (0.500, 0.799, 0.201)  0.00
Co (0.500, 0.201, 0.401)  -0.16
Si (0.000, 0.333, 0.667)  0.01
Si (0.500, 0.403, 0.201)  0.00
Co (0.000, 0.934, 0.467)  0.05
Co (0.500, 0.599, 0.799)  -0.16



A relaxed U3Co4Si4 crystal, computed with PBE.

raw total energy = -88.25 eV for the cell shown
D(E_F) = 1.502 states/eV/atom
uncorrected formation energy = -4.27 eV per formula unit
mass density = 10.097 Mg/m³

Unit cell a=3.924 b=5.878 c=8.033 alpha=90.00 beta=90.00 gamma=109.50
Each line ends with the local moment (μB).
Positions (direct):
Co (0.091, 0.182, 0.246)  0.40
Co (0.091, 0.182, 0.754)  0.40
Si (0.698, 0.396, 0.244)  -0.01
U (0.396, 0.791, 0.724)  1.32
Co (0.579, 0.157, 0.000)  0.51
Si (0.698, 0.396, 0.756)  -0.01
U (0.271, 0.543, 0.000)  0.91
Si (0.001, 0.001, 0.500)  -0.01
Si (0.971, 0.942, 0.000)  -0.01
U (0.396, 0.791, 0.276)  1.32
Co (0.608, 0.215, 0.500)  0.64